1.
Density functional theory data (PBE-GGA) for crystalline Cu2AsP at its relaxed geometry.

Cell lengths 2.8419, 2.8419, 7.2098 Å; angles 90.00, 90.00, 89.63 degrees
Atoms (fractional coordinates):
As 0.5000 0.5000 0.7500
Cu 0.0000 0.0000 0.0263
Cu 0.0000 0.0000 0.4737
P 0.5000 0.5000 0.2500

Computed properties:
**Volume**: 14.557 Å³/atom
**DOS at the Fermi energy**: 1.70 states/eV/f.u.
**Space-group type**: Cmmm (65)
**Energy of formation**: 0.28 eV/atom

***

2.
Density functional theory data (PBE-GGA) for crystalline Cu2AsP at its relaxed geometry.

Cell lengths 4.1986, 4.1986, 5.8986 Å; angles 100.16, 100.16, 38.94 degrees
Atoms (fractional coordinates):
As 0.3532 0.3532 0.1815
Cu 0.0530 0.0530 0.0045
Cu 0.6946 0.6946 0.7128
P 0.3992 0.3992 0.6012

Computed properties:
**Volume**: 16.051 Å³/atom
**DOS at the Fermi energy**: 1.30 states/eV/f.u.
**Space-group type**: Cm (8)
**Energy of formation**: 0.10 eV/atom